No. 1
The following is a GGA-PBE calculation of an optimized crystal structure of Ac2PmAl4Pd3, from Alexandria via LeMat-Bulk.

a = 4.4524 Å, b = 4.4524 Å, c = 11.7334 Å
α = 90.00°, β = 90.00°, γ = 90.00°
Space group P-4m2 (No. 115)
Symmetry-distinct sites (fractional):
Ac 0.0000 0.5000 0.2285
Pm 0.0000 0.0000 0.5000
Al 0.0000 0.0000 0.0000
Al 0.0000 0.5000 0.6716
Al 0.5000 0.5000 0.0000
Pd 0.0000 0.5000 0.8870
Pd 0.5000 0.5000 0.5000

Output
For the formation energy, the calculation gives -0.627 eV per atom. As for the density of states at the Fermi level: 11.7 states/eV/f.u.

No. 2
The following is a GGA-PBE calculation of an optimized crystal structure of KCo3, from Alexandria via LeMat-Bulk.

a = 8.2554 Å, b = 2.7207 Å, c = 6.7421 Å
α = 90.00°, β = 96.46°, γ = 90.00°
Space group C2/m (No. 12)
Symmetry-distinct sites (fractional):
K 0.0000 0.0000 0.0000
Co 0.0000 0.5000 0.5000
Co 0.2195 0.0000 0.6285

Output
For the formation energy, the calculation gives 0.681 eV per atom. As for the density of states at the Fermi level: 3.8 states/eV/f.u.

No. 3
The following is a GGA-PBE calculation of an optimized crystal structure of Tb4TmGa2, from Alexandria via LeMat-Bulk.

a = 6.6734 Å, b = 7.6294 Å, c = 8.9632 Å
α = 72.96°, β = 70.53°, γ = 67.46°
Space group P1 (No. 1)
Symmetry-distinct sites (fractional):
Tb 0.0000 0.0000 0.0000
Tb 0.0096 0.4569 0.6836
Tb 0.0376 0.9283 0.5642
Tb 0.0866 0.4850 0.0874
Tb 0.3936 0.2026 0.4148
Tb 0.4304 0.9439 0.1647
Tb 0.6035 0.4613 0.0549
Tb 0.6202 0.5334 0.4405
Tm 0.4798 0.7896 0.7247
Tm 0.5338 0.2105 0.7870
Ga 0.2046 0.6326 0.3168
Ga 0.7898 0.7922 0.8838
Ga 0.7944 0.8522 0.3653
Ga 0.8908 0.1853 0.2887

Output
For the formation energy, the calculation gives -0.237 eV per atom. As for the density of states at the Fermi level: 6.7 states/eV/f.u.

No. 4
The following is a GGA-PBE calculation of an optimized crystal structure of NaCeReO6, from Alexandria via LeMat-Bulk.

a = 5.6110 Å, b = 5.6110 Å, c = 5.0132 Å
α = 90.00°, β = 90.00°, γ = 120.00°
Space group P312 (No. 149)
Symmetry-distinct sites (fractional):
Na 0.0000 0.0000 0.0000
Ce 0.3333 0.6667 0.5000
Re 0.6667 0.3333 0.5000
O 0.3936 0.0442 0.7122

Output
The value obtained for the formation energy without anion corrections is -19.57 eV per formula unit. As for the density of states at the Fermi level: 0.0 states/eV/f.u.

No. 5
The following is a GGA-PBE calculation of an optimized crystal structure of TiTe2PbF, from Alexandria via LeMat-Bulk.

a = 5.6285 Å, b = 5.6285 Å, c = 3.9840 Å
α = 90.00°, β = 90.00°, γ = 90.00°
Space group P4/mmm (No. 123)
Symmetry-distinct sites (fractional):
Ti 0.0000 0.0000 0.0000
Te 0.0000 0.5000 0.0000
Pb 0.5000 0.5000 0.5000
F 0.0000 0.0000 0.5000

Output
The value obtained for the formation energy without anion corrections is -5.63 eV per formula unit. As for the density of states at the Fermi level: 2.7 states/eV/f.u.

No. 6
The following is a GGA-PBE calculation of an optimized crystal structure of Pm2Ge3Pt9, from Alexandria via LeMat-Bulk.

a = 13.6366 Å, b = 7.8968 Å, c = 10.2254 Å
α = 90.00°, β = 117.10°, γ = 90.00°
Space group C2/c (No. 15)
Symmetry-distinct sites (fractional):
Pm 0.1704 0.0853 0.2506
Ge 0.0899 0.2268 0.4970
Ge 0.2500 0.2500 0.0000
Pt 0.0000 0.3672 0.2500
Pt 0.0602 0.0824 0.9212
Pt 0.1033 0.3117 0.7391
Pt 0.1068 0.4103 0.0683
Pt 0.2214 0.4193 0.4210

Output
For the formation energy, the calculation gives -0.765 eV per atom. As for the density of states at the Fermi level: 6.5 states/eV/f.u.